1.
A geometry-optimized SrLiSi2 structure. Source: Alexandria via LeMat-Bulk, functional GGA-PBE.

Geometry as extended XYZ:
```
4
Lattice="4.550 0.000 0.000 0.000 4.247 0.000 0.000 0.000 4.247" Properties=species:S:1:pos:R:3 pbc="T T T"
Sr 2.275 2.124 0.000
Si 0.000 0.000 0.000
Si 0.000 2.124 2.124
Li 2.275 0.000 2.124
```

Summary:
energy relative to the lowest polymorph listed for this composition: 411 meV/atom
ρ: 3.05 g/cm³
total moment: 0.0000 μB/atom
symmetry: P4/mmm



2.
A geometry-optimized NaDy2Pb3Se6 structure. Source: Alexandria via LeMat-Bulk, functional GGA-PBE.

Geometry as extended XYZ:
```
12
Lattice="4.111 0.000 0.000 0.000 9.139 0.291 -2.056 -2.668 8.977" Properties=species:S:1:pos:R:3 pbc="T T T"
Na 2.056 0.000 0.000
Se 0.000 6.316 6.148
Se 2.056 4.196 9.031
Se 2.056 4.187 3.254
Se 0.000 2.284 6.014
Se 0.000 2.276 0.237
Se 2.056 0.156 3.120
Pb 0.000 6.807 3.114
Pb 2.056 4.570 0.146
Pb 2.056 -0.335 6.154
Dy 2.056 4.314 6.218
Dy 0.000 2.158 3.050
```

Summary:
ρ: 7.04 g/cm³
E: -4.633 eV/atom
total moment: 0.0044 μB/atom
symmetry: C2/m



3.
A geometry-optimized Sc3I7Cl structure. Source: Alexandria via LeMat-Bulk, functional GGA-PBE.

Geometry as extended XYZ:
```
11
Lattice="-6.728 3.971 -2.447 -7.390 -3.305 1.261 -3.756 5.425 5.435" Properties=species:S:1:pos:R:3 pbc="T T T"
Sc -11.705 3.133 2.868
Sc -4.655 2.711 3.503
Sc -8.261 1.100 4.120
I -10.579 0.418 2.376
I -10.267 4.066 0.538
I -5.694 5.394 3.952
I -13.930 2.433 1.165
I -9.437 3.718 4.593
I -9.100 7.404 2.714
I -6.877 2.065 1.771
Cl -12.761 5.564 3.031
```

Summary:
ρ: 4.03 g/cm³
E: -4.172 eV/atom
total moment: 0.0962 μB/atom
symmetry: Cm



4.
A geometry-optimized NdTm2Sn structure. Source: Alexandria via LeMat-Bulk, functional GGA-PBE.

Geometry as extended XYZ:
```
4
Lattice="4.799 0.000 0.000 0.000 4.839 0.000 0.000 0.000 4.839" Properties=species:S:1:pos:R:3 pbc="T T T"
Tm 0.000 0.000 2.420
Tm 0.000 2.420 0.000
Sn 2.399 0.000 0.000
Nd 2.399 2.420 2.420
```

Summary:
energy relative to the lowest polymorph listed for this composition: 20 meV/atom
ρ: 8.88 g/cm³
ΔH_f (0 K): -0.40 eV/atom
total moment: 0.0003 μB/atom
symmetry: P4/mmm



5.
A geometry-optimized Ca2TlW structure. Source: Alexandria via LeMat-Bulk, functional GGA-PBE.

Geometry as extended XYZ:
```
4
Lattice="5.231 0.000 0.000 2.616 4.530 0.000 2.616 1.510 4.271" Properties=species:S:1:pos:R:3 pbc="T T T"
W 7.847 4.530 3.203
Ca 2.616 1.510 1.068
Ca 0.000 0.000 0.000
Tl 5.231 3.020 2.136
```

Summary:
energy relative to the lowest polymorph listed for this composition: 262 meV/atom
ρ: 7.68 g/cm³
ΔH_f (0 K): 0.75 eV/atom
total moment: 0.8514 μB/atom
symmetry: F-43m



6.
A geometry-optimized SrCuPb4 structure. Source: Alexandria via LeMat-Bulk, functional GGA-PBE.

Geometry as extended XYZ:
```
6
Lattice="0.000 4.599 4.599 4.599 0.000 4.599 4.599 4.599 0.000" Properties=species:S:1:pos:R:3 pbc="T T T"
Sr 6.898 6.898 6.898
Pb 3.449 3.449 3.449
Pb 3.449 5.749 5.749
Pb 5.749 3.449 5.749
Pb 5.749 5.749 3.449
Cu 0.000 0.000 0.000
```

Summary:
ρ: 8.37 g/cm³
ΔH_f (0 K): 0.13 eV/atom
total moment: 0.0000 μB/atom
symmetry: F-43m